(1)
# LuZnIr4 GGA-PBE relaxed
data_LuZnIr4
_chemical_formula_sum 'Lu4 Zn4 Ir16'
_cell_length_a 7.4119
_cell_length_b 7.4119
_cell_length_c 7.4119
_cell_angle_alpha 90.00
_cell_angle_beta 90.00
_cell_angle_gamma 90.00
_symmetry_space_group_name_H-M 'F -4 3 m'
_symmetry_Int_Tables_number 216
_symmetry_space_group_name_Hall 'F -4 2 3'
loop_
_atom_site_label
_atom_site_type_symbol
_atom_site_fract_x
_atom_site_fract_y
_atom_site_fract_z
Lu1 Lu 0.0000 0.0000 0.0000
Zn1 Zn 0.2500 0.2500 0.2500
Ir1 Ir 0.1246 0.1246 0.6246
# Magnetic moment (μB/f.u.): 0.0
# E (eV/atom): -7.214
# Formation energy from the elements (eV/atom): -0.34

***

(2)
# K3Nd2ZrS6 GGA-PBE relaxed
data_K3Nd2ZrS6
_chemical_formula_sum 'K6 Nd4 Zr2 S12'
_cell_length_a 7.0116
_cell_length_b 12.1455
_cell_length_c 7.7798
_cell_angle_alpha 90.00
_cell_angle_beta 107.57
_cell_angle_gamma 90.00
_symmetry_space_group_name_H-M 'C 1 2/m 1'
_symmetry_Int_Tables_number 12
loop_
_symmetry_equiv_pos_as_xyz
'x,y,z'
'-x,-y,-z'
'-x,y,-z'
'x,-y,z'
'x+1/2,y+1/2,z'
'-x+1/2,-y+1/2,-z'
'-x+1/2,y+1/2,-z'
'x+1/2,-y+1/2,z'
loop_
_atom_site_label
_atom_site_type_symbol
_atom_site_fract_x
_atom_site_fract_y
_atom_site_fract_z
K1 K 0.0000 0.0000 0.0000
K2 K 0.0000 0.3302 0.0000
Nd1 Nd 0.0000 0.1664 0.5000
Zr1 Zr 0.0000 0.5000 0.5000
S1 S 0.2244 0.3442 0.7054
S2 S 0.2424 0.5000 0.2945
# Magnetic moment (μB/f.u.): 0.0
# Formation energy without anion corrections (meV per atom): -1699.9
# E (eV/atom): -5.545

***

(3)
# Sm5Tm2Mg5 GGA-PBE relaxed
data_Sm5Tm2Mg5
_chemical_formula_sum 'Sm10 Tm4 Mg10'
_cell_length_a 17.0832
_cell_length_b 3.6598
_cell_length_c 12.2145
_cell_angle_alpha 90.00
_cell_angle_beta 114.33
_cell_angle_gamma 90.00
_symmetry_space_group_name_H-M 'C 1 2/m 1'
_symmetry_Int_Tables_number 12
loop_
_symmetry_equiv_pos_as_xyz
'x,y,z'
'-x,-y,-z'
'-x,y,-z'
'x,-y,z'
'x+1/2,y+1/2,z'
'-x+1/2,-y+1/2,-z'
'-x+1/2,y+1/2,-z'
'x+1/2,-y+1/2,z'
loop_
_atom_site_label
_atom_site_type_symbol
_atom_site_fract_x
_atom_site_fract_y
_atom_site_fract_z
Sm1 Sm 0.0000 0.0000 0.0000
Sm2 Sm 0.0583 0.0000 0.7447
Sm3 Sm 0.1678 0.0000 0.5230
Tm1 Tm 0.1188 0.5000 0.2587
Mg1 Mg 0.0000 0.5000 0.5000
Mg2 Mg 0.1721 0.5000 0.0011
Mg3 Mg 0.2326 0.5000 0.7792
# Magnetic moment (μB/f.u.): 0.0
# E (eV/atom): -3.414
# Formation energy from the elements (eV/atom): -0.04

***

(4)
# AcCdSiPd6 GGA-PBE relaxed
data_AcCdSiPd6
_chemical_formula_sum 'Ac4 Cd4 Si4 Pd24'
_cell_length_a 6.5072
_cell_length_b 9.4660
_cell_length_c 11.5489
_cell_angle_alpha 90.00
_cell_angle_beta 90.00
_cell_angle_gamma 90.00
_symmetry_space_group_name_H-M 'I m m a'
_symmetry_Int_Tables_number 74
_symmetry_space_group_name_Hall '-I 2b 2'
loop_
_atom_site_label
_atom_site_type_symbol
_atom_site_fract_x
_atom_site_fract_y
_atom_site_fract_z
Ac1 Ac 0.0000 0.2500 0.1873
Cd1 Cd 0.2500 0.2500 0.7500
Si1 Si 0.0000 0.0000 0.5000
Pd1 Pd 0.0000 0.2500 0.4501
Pd2 Pd 0.0000 0.2500 0.9424
Pd3 Pd 0.2240 0.0055 0.8747
# Magnetic moment (μB/f.u.): 0.0
# Formation energy without anion corrections (meV per atom): -361.6
# E (eV/atom): -4.984

***

(5)
# Ta2Tl2CuS6 GGA-PBE relaxed
data_Ta2Tl2CuS6
_chemical_formula_sum 'Ta4 Tl4 Cu2 S12'
_cell_length_a 6.0376
_cell_length_b 11.0965
_cell_length_c 7.9962
_cell_angle_alpha 90.00
_cell_angle_beta 106.05
_cell_angle_gamma 90.00
_symmetry_space_group_name_H-M 'C 1 2/m 1'
_symmetry_Int_Tables_number 12
loop_
_symmetry_equiv_pos_as_xyz
'x,y,z'
'-x,-y,-z'
'-x,y,-z'
'x,-y,z'
'x+1/2,y+1/2,z'
'-x+1/2,-y+1/2,-z'
'-x+1/2,y+1/2,-z'
'x+1/2,-y+1/2,z'
loop_
_atom_site_label
_atom_site_type_symbol
_atom_site_fract_x
_atom_site_fract_y
_atom_site_fract_z
Ta1 Ta 0.0000 0.1773 0.0000
Tl1 Tl 0.0000 0.3481 0.5000
Cu1 Cu 0.0000 0.5000 0.0000
S1 S 0.2308 0.0000 0.1605
S2 S 0.2429 0.3227 0.1939
# Magnetic moment (μB/f.u.): 0.0
# Formation energy without anion corrections (meV per atom): -638.7
# E (eV/atom): -5.848

***

(6)
# Li2Ge2Pd GGA-PBE relaxed
data_Li2Ge2Pd
_chemical_formula_sum 'Li8 Ge8 Pd4'
_cell_length_a 9.4623
_cell_length_b 4.3479
_cell_length_c 8.3790
_cell_angle_alpha 90.00
_cell_angle_beta 106.78
_cell_angle_gamma 90.00
_symmetry_space_group_name_H-M 'C 1 2/m 1'
_symmetry_Int_Tables_number 12
loop_
_symmetry_equiv_pos_as_xyz
'x,y,z'
'-x,-y,-z'
'-x,y,-z'
'x,-y,z'
'x+1/2,y+1/2,z'
'-x+1/2,-y+1/2,-z'
'-x+1/2,y+1/2,-z'
'x+1/2,-y+1/2,z'
loop_
_atom_site_label
_atom_site_type_symbol
_atom_site_fract_x
_atom_site_fract_y
_atom_site_fract_z
Li1 Li 0.0461 0.0000 0.3531
Li2 Li 0.1674 0.0000 0.0685
Ge1 Ge 0.0250 0.5000 0.8620
Ge2 Ge 0.1398 0.5000 0.5858
Pd1 Pd 0.2372 0.5000 0.3203
# Magnetic moment (μB/f.u.): 0.0
# E (eV/atom): -4.034
# Formation energy from the elements (eV/atom): -0.38

***

Copy entry 2 word for word.
# K3Nd2ZrS6 GGA-PBE relaxed
data_K3Nd2ZrS6
_chemical_formula_sum 'K6 Nd4 Zr2 S12'
_cell_length_a 7.0116
_cell_length_b 12.1455
_cell_length_c 7.7798
_cell_angle_alpha 90.00
_cell_angle_beta 107.57
_cell_angle_gamma 90.00
_symmetry_space_group_name_H-M 'C 1 2/m 1'
_symmetry_Int_Tables_number 12
loop_
_symmetry_equiv_pos_as_xyz
'x,y,z'
'-x,-y,-z'
'-x,y,-z'
'x,-y,z'
'x+1/2,y+1/2,z'
'-x+1/2,-y+1/2,-z'
'-x+1/2,y+1/2,-z'
'x+1/2,-y+1/2,z'
loop_
_atom_site_label
_atom_site_type_symbol
_atom_site_fract_x
_atom_site_fract_y
_atom_site_fract_z
K1 K 0.0000 0.0000 0.0000
K2 K 0.0000 0.3302 0.0000
Nd1 Nd 0.0000 0.1664 0.5000
Zr1 Zr 0.0000 0.5000 0.5000
S1 S 0.2244 0.3442 0.7054
S2 S 0.2424 0.5000 0.2945
# Magnetic moment (μB/f.u.): 0.0
# Formation energy without anion corrections (meV per atom): -1699.9
# E (eV/atom): -5.545